1 | The following is a meta-GGA SCAN calculation of a PBEsol-optimized structure of Sr5Ir, from Alexandria.

Output
mass density	4.30	g/cm3
total magnetization	0.36	μB/f.u.

Cell and atoms, written as extended XYZ:
```
6
Lattice="3.865 0.000 0.000 1.933 6.937 -0.003 1.933 2.736 9.070" Properties=species:S:1:pos:R:3 pbc="T T T"
Sr 1.933 2.778 5.555
Sr 5.798 6.895 3.512
Sr 1.933 0.000 0.000
Sr 5.798 5.972 6.908
Sr 1.933 3.701 2.158
Ir 3.865 4.836 4.533
```

---

2 | The following is a meta-GGA SCAN calculation of a PBEsol-optimized structure of Sr5Ir, from Alexandria.

Output
mass density	4.40	g/cm3
total magnetization	0.45	μB/f.u.

Cell and atoms, written as extended XYZ:
```
6
Lattice="3.780 0.000 0.000 0.000 3.780 0.000 0.000 0.000 16.639" Properties=species:S:1:pos:R:3 pbc="T T T"
Sr 0.000 0.000 15.006
Sr 0.000 0.000 1.633
Sr 0.000 0.000 8.320
Sr 1.890 1.890 5.065
Sr 1.890 1.890 11.574
Ir 1.890 1.890 0.000
```

---

We find 1 to be the most stable, with the next structure 6.1 kJ/mol of atoms higher.

---

1 | The following is a meta-GGA SCAN calculation of a PBEsol-optimized structure of SrTa2Ir, from Alexandria.

Output
mass density	14.10	g/cm3
total magnetization	0.00	μB/f.u.

Cell and atoms, written as extended XYZ:
```
4
Lattice="-2.605 -0.195 1.092 1.019 -5.182 1.507 1.168 4.166 3.529" Properties=species:S:1:pos:R:3 pbc="T T T"
Ta 1.094 -0.508 2.518
Ta 0.584 2.083 1.764
Ir -1.302 -0.097 0.546
Sr -0.793 -2.688 1.300
```

---

2 | The following is a meta-GGA SCAN calculation of a PBEsol-optimized structure of SrTa2Ir, from Alexandria.

Output
mass density	12.90	g/cm3
total magnetization	0.00	μB/f.u.

Cell and atoms, written as extended XYZ:
```
4
Lattice="2.954 0.000 0.000 0.000 5.130 -0.066 -1.477 -1.952 5.476" Properties=species:S:1:pos:R:3 pbc="T T T"
Ta 1.477 2.711 2.201
Ta 0.000 0.467 3.209
Sr 1.477 0.000 0.000
Ir 0.000 2.565 -0.033
```

---

3 | The following is a meta-GGA SCAN calculation of a PBEsol-optimized structure of SrTa2Ir, from Alexandria.

Output
mass density	12.07	g/cm3
total magnetization	0.00	μB/f.u.

Cell and atoms, written as extended XYZ:
```
4
Lattice="-2.685 0.638 1.256 -0.960 -1.881 -4.755 0.397 -4.970 3.371" Properties=species:S:1:pos:R:3 pbc="T T T"
Ta -3.146 -5.648 -0.195
Ta -0.803 -4.431 0.534
Sr -2.468 -1.849 -0.675
Ir -1.224 -2.665 2.396
```

---

We find 2 to be the most stable, with the next structure 15.0 kJ/mol of atoms higher.

---

1 | The following is a meta-GGA SCAN calculation of a PBEsol-optimized structure of SrTcIr2, from Alexandria.

Output
mass density	13.63	g/cm3
total magnetization	3.04	μB/f.u.

Cell and atoms, written as extended XYZ:
```
4
Lattice="4.614 0.000 0.000 2.307 3.995 0.000 2.307 1.332 3.767" Properties=species:S:1:pos:R:3 pbc="T T T"
Ir 6.920 3.995 2.825
Ir 2.307 1.332 0.942
Tc 4.614 2.664 1.883
Sr 0.000 0.000 0.000
```

---

2 | The following is a meta-GGA SCAN calculation of a PBEsol-optimized structure of SrTcIr2, from Alexandria.

Output
mass density	12.38	g/cm3
total magnetization	0.00	μB/f.u.

Cell and atoms, written as extended XYZ:
```
4
Lattice="2.773 0.000 0.000 -1.387 4.294 0.003 0.000 -0.840 6.423" Properties=species:S:1:pos:R:3 pbc="T T T"
Ir 0.000 1.938 1.076
Ir 1.387 1.516 5.350
Tc 1.387 0.000 0.000
Sr 0.000 -0.420 3.212
```

---

We find 2 to be the most stable, with the next structure 37.9 kJ/mol of atoms higher.

---

1 | The following is a meta-GGA SCAN calculation of a PBEsol-optimized structure of SrTcIr2, from Alexandria.

Output
mass density	13.08	g/cm3
total magnetization	0.00	μB/f.u.

Cell and atoms, written as extended XYZ:
```
4
Lattice="2.808 0.000 0.000 0.000 3.503 0.000 0.000 0.000 7.358" Properties=species:S:1:pos:R:3 pbc="T T T"
Ir 0.000 0.000 2.314
Ir 0.000 0.000 5.045
Tc 1.404 1.751 3.679
Sr 1.404 1.751 0.000
```

---

2 | The following is a meta-GGA SCAN calculation of a PBEsol-optimized structure of SrTcIr2, from Alexandria.

Output
mass density	13.04	g/cm3
total magnetization	0.00	μB/f.u.

Cell and atoms, written as extended XYZ:
```
4
Lattice="2.804 0.000 -0.078 0.000 4.364 0.000 -1.044 0.000 5.963" Properties=species:S:1:pos:R:3 pbc="T T T"
Sr 0.970 0.000 2.765
Ir 1.289 0.000 5.704
Ir 2.330 2.182 1.213
Tc -0.189 2.182 5.031
```

---

We find 1 to be the most stable, with the next structure 21.7 kJ/mol of atoms higher.

---

1 | The following is a meta-GGA SCAN calculation of a PBEsol-optimized structure of SrTe2Ir, from Alexandria.

Output
mass density	8.12	g/cm3
total magnetization	0.00	μB/f.u.

Cell and atoms, written as extended XYZ:
```
4
Lattice="-1.628 0.297 -3.545 4.846 -1.989 -2.393 -3.282 -3.695 3.356" Properties=species:S:1:pos:R:3 pbc="T T T"
Te 0.530 -3.775 -2.719
Te -0.594 -1.612 0.138
Ir -0.814 0.149 -1.773
Sr 2.423 -0.995 -1.196
```

---

2 | The following is a meta-GGA SCAN calculation of a PBEsol-optimized structure of SrTe2Ir, from Alexandria.

Output
mass density	8.09	g/cm3
total magnetization	0.00	μB/f.u.

Cell and atoms, written as extended XYZ:
```
4
Lattice="4.079 0.000 0.000 0.000 5.307 0.011 0.000 -1.563 5.072" Properties=species:S:1:pos:R:3 pbc="T T T"
Te 0.000 3.176 1.581
Te 0.000 0.568 3.502
Sr 2.040 0.000 0.000
Ir 2.040 1.872 2.541
```

---

We find 2 to be the most stable, with the next structure 1.8 kJ/mol of atoms higher.

---

1 | The following is a meta-GGA SCAN calculation of a PBEsol-optimized structure of SrIrW2, from Alexandria.

Output
mass density	14.19	g/cm3
total magnetization	0.00	μB/f.u.

Cell and atoms, written as extended XYZ:
```
4
Lattice="2.769 0.000 0.000 0.000 4.972 0.000 -1.384 -2.486 5.503" Properties=species:S:1:pos:R:3 pbc="T T T"
Ir 0.000 2.486 0.000
Sr 1.384 0.000 0.000
W 0.000 0.000 3.217
W 1.384 2.486 2.287
```

---

2 | The following is a meta-GGA SCAN calculation of a PBEsol-optimized structure of SrIrW2, from Alexandria.

Output
mass density	13.38	g/cm3
total magnetization	0.00	μB/f.u.

Cell and atoms, written as extended XYZ:
```
4
Lattice="2.798 0.000 0.000 0.000 3.829 0.000 0.000 0.000 7.499" Properties=species:S:1:pos:R:3 pbc="T T T"
Sr 1.399 1.914 3.750
Ir 1.399 1.914 0.000
W 0.000 0.000 6.232
W 0.000 0.000 1.268
```

---

3 | The following is a meta-GGA SCAN calculation of a PBEsol-optimized structure of SrIrW2, from Alexandria.

Output
mass density	14.12	g/cm3
total magnetization	0.00	μB/f.u.

Cell and atoms, written as extended XYZ:
```
4
Lattice="2.918 0.000 -0.006 0.000 3.100 0.000 -0.615 0.000 8.419" Properties=species:S:1:pos:R:3 pbc="T T T"
W 1.101 1.550 2.216
W 0.074 0.000 0.462
Sr 1.121 1.550 6.134
Ir 2.618 0.000 3.805
```

---

We find 3 to be the most stable, with the next structure 7.8 kJ/mol of atoms higher.